## SmCoC2 (PBEsol)

Data for crystalline SmCoC2 at its relaxed geometry.

abc: 3.6760 3.7263 3.7263
angles: 74.06 90.00 90.00
With the nearest neighbours (Å) after each atom.
Fractional positions:
Sm (0.0000, 0.0000, 0.0000)  8 C 2.67, 6 Co 2.94-2.98
Co (0.5000, 0.3856, 0.3856)  4 C 1.92-1.97
C (0.5000, 0.5414, 0.8493)  1 C 1.38
C (0.5000, 0.8493, 0.5414)  1 C 1.38

Results
formation energy from the elements: -1.4 eV per formula unit
total DFT energy (no corrections): -8.384 eV per atom
space-group type: Amm2, No. 38
magnetic moment: 0.0 μB per cell